First-principles (GGA-PBE) data for an optimized crystal structure of Na2Be2OsO6, as listed in Alexandria.

Cell: 5.1591 5.1591 5.8770 Å, 90.00 90.00 120.00°
Each line ends with the local moment (μB).
Positions (direct):
O1 0.0800 0.7402 0.8100  0.06
O2 0.3398 0.0800 0.1900  0.06
O3 0.2598 0.3398 0.8100  0.06
O4 0.6602 0.9200 0.8100  0.06
O5 0.9200 0.2598 0.1900  0.06
O6 0.7402 0.6602 0.1900  0.06
Os1 0.0000 0.0000 0.0000  1.40
Be1 0.3333 0.6667 0.8359  0.02
Be2 0.6667 0.3333 0.1641  0.02
Na1 0.3333 0.6667 0.3488  0.00
Na2 0.6667 0.3333 0.6512  0.00

## Properties
calculated volume: 135.5 Å³/cell
space group: P-3 (147)
total moment: 2.00 μB per cell
formation energy (no corrections): -1.664 eV per atom

First-principles (GGA-PBE) data for an optimized crystal structure of Na2Be2PO6, as listed in Alexandria.

Cell: 5.0169 5.0148 5.8351 Å, 115.17 90.00 120.01°
Positions (direct):
Na1 0.7026 0.4053 0.1095
Na2 0.2974 0.5947 0.8905
Be1 0.8951 0.7902 0.6836
Be2 0.1049 0.2098 0.3164
O1 0.7475 0.0218 0.2977
O2 0.7257 0.9782 0.7023
O3 0.2757 0.5514 0.3018
O4 0.7243 0.4486 0.6982
O5 0.2525 0.9782 0.7023
O6 0.2743 0.0218 0.2977
P1 0.5000 0.0000 0.5000

## Properties
calculated volume: 110.7 Å³/cell
space group: C2/m (12)
total moment: 0.00 μB per cell
formation energy (no corrections): -1.946 eV per atom

First-principles (GGA-PBE) data for an optimized crystal structure of NaPa3Be4O12, as listed in Alexandria.

Cell: 6.7575 6.7575 6.7575 Å, 103.20 103.20 103.20°
Positions (direct):
Be1 0.9525 0.0475 0.5000
Be2 0.5000 0.9525 0.0475
Be3 0.5000 0.5000 0.5000
Be4 0.0475 0.5000 0.9525
Pa1 0.5429 0.4571 0.0000
Pa2 0.4571 0.0000 0.5429
Pa3 0.0000 0.5429 0.4571
O1 0.3896 0.9854 0.2232
O2 0.0146 0.6104 0.7768
O3 0.1015 0.8985 0.5000
O4 0.9854 0.2232 0.3896
O5 0.2232 0.3896 0.9854
O6 0.7768 0.0146 0.6104
O7 0.3538 0.6462 0.5000
O8 0.5000 0.1015 0.8985
O9 0.5000 0.3538 0.6462
O10 0.8985 0.5000 0.1015
O11 0.6462 0.5000 0.3538
O12 0.6104 0.7768 0.0146
Na1 0.0000 0.0000 0.0000

## Properties
calculated volume: 279.4 Å³/cell
space group: R32 (155)
total moment: 0.00 μB per cell
formation energy (no corrections): -3.005 eV per atom

First-principles (GGA-PBE) data for an optimized crystal structure of Na4BePb3O8, as listed in Alexandria.

Cell: 6.6040 6.5880 6.8649 Å, 117.60 118.75 90.00°
Positions (direct):
O1 0.2246 0.3351 0.0622
O2 0.2817 0.7598 0.5634
O3 0.1623 0.6649 0.9378
O4 0.2509 0.2609 0.5018
O5 0.7183 0.2402 0.4366
O6 0.7754 0.6649 0.9378
O7 0.8377 0.3351 0.0622
O8 0.7491 0.7391 0.4982
Pb1 0.5000 0.5000 0.5000
Pb2 0.0000 0.5000 0.5000
Pb3 0.5000 0.5000 0.0000
Na1 0.0000 0.0000 0.5000
Na2 0.0000 0.0000 0.0000
Na3 0.5000 0.0000 0.5000
Na4 0.5000 0.0000 0.0000
Be1 0.0000 0.5000 0.0000

## Properties
calculated volume: 222.3 Å³/cell
space group: C2/m (12)
total moment: 0.00 μB per cell
formation energy (no corrections): -1.241 eV per atom

First-principles (GGA-PBE) data for an optimized crystal structure of Na2BePbO4, as listed in Alexandria.

Cell: 5.3734 5.3734 5.3734 Å, 87.43 121.49 121.49°
Positions (direct):
O1 0.0321 0.2144 0.6055
O2 0.3911 0.8177 0.7856
O3 0.9679 0.5734 0.1823
O4 0.6089 0.3945 0.4266
Be1 0.0000 0.5000 0.5000
Pb1 0.5000 0.2500 0.7500
Na1 0.0000 0.0000 0.0000
Na2 0.5000 0.7500 0.2500

## Properties
calculated volume: 107.1 Å³/cell
space group: I-4 (82)
total moment: 0.00 μB per cell
formation energy (no corrections): -1.572 eV per atom

First-principles (GGA-PBE) data for an optimized crystal structure of NaBePbO4, as listed in Alexandria.

Cell: 5.5664 6.1400 6.1400 Å, 66.05 63.05 63.05°
Each line ends with the local moment (μB).
Positions (direct):
O1 0.2719 0.7407 0.2407  0.03
O2 0.7409 0.2946 0.2237  0.40
O3 0.7467 0.7407 0.2407  0.03
O4 0.2533 0.2593 0.7593  0.03
O5 0.2591 0.2763 0.2054  0.40
O6 0.2591 0.7054 0.7763  0.40
O7 0.7281 0.2593 0.7593  0.03
O8 0.7409 0.7237 0.7946  0.40
Be1 0.6380 0.6120 0.1120  -0.01
Be2 0.3620 0.3880 0.8880  -0.01
Na1 0.0000 0.0000 0.5000  0.00
Na2 0.5000 0.0000 0.5000  0.00
Pb1 0.0000 0.5000 0.5000  -0.01
Pb2 0.0000 0.0000 0.0000  -0.01

## Properties
calculated volume: 161.3 Å³/cell
space group: Imma (74)
total moment: 2.04 μB per cell
formation energy (no corrections): -1.206 eV per atom

First-principles (GGA-PBE) data for an optimized crystal structure of Na4BePd3O8, as listed in Alexandria.

Cell: 6.1839 6.4506 6.1897 Å, 119.35 119.97 90.00°
Each line ends with the local moment (μB).
Positions (direct):
Na1 0.5000 0.0000 0.5000  0.01
Na2 0.5000 0.0000 0.0000  0.00
Na3 0.0000 0.0000 0.0000  0.00
Na4 0.0000 0.0000 0.5000  0.01
O1 0.7720 0.3081 0.5440  0.02
O2 0.2476 0.3097 0.0268  0.03
O3 0.2208 0.6903 0.9732  0.03
O4 0.7524 0.6903 0.9732  0.03
O5 0.7299 0.7257 0.4598  0.23
O6 0.2701 0.2743 0.5402  0.23
O7 0.7792 0.3097 0.0268  0.03
O8 0.2280 0.6919 0.4560  0.02
Be1 0.0000 0.5000 0.0000  0.00
Pd1 0.5000 0.5000 0.0000  0.04
Pd2 0.5000 0.5000 0.5000  0.47
Pd3 0.0000 0.5000 0.5000  0.47

## Properties
calculated volume: 176.4 Å³/cell
space group: C2/m (12)
total moment: 1.77 μB per cell
formation energy (no corrections): -1.046 eV per atom

First-principles (GGA-PBE) data for an optimized crystal structure of Na2BePd2O6, as listed in Alexandria.

Cell: 5.1673 5.1673 5.7201 Å, 98.52 98.52 120.52°
Positions (direct):
Pd1 0.3346 0.6654 0.5000
Pd2 0.6654 0.3346 0.5000
O1 0.3870 0.0601 0.6901
O2 0.0601 0.3870 0.6901
O3 0.6130 0.9399 0.3099
O4 0.9399 0.6130 0.3099
O5 0.7587 0.7587 0.6790
O6 0.2413 0.2413 0.3210
Be1 0.0000 0.0000 0.5000
Na1 0.8356 0.1644 0.0000
Na2 0.1644 0.8356 0.0000

## Properties
calculated volume: 125.6 Å³/cell
space group: C2/m (12)
total moment: 0.00 μB per cell
formation energy (no corrections): -1.120 eV per atom

First-principles (GGA-PBE) data for an optimized crystal structure of NaPmBe2O4, as listed in Alexandria.

Cell: 5.4931 4.9328 4.9328 Å, 67.72 56.17 56.17°
Positions (direct):
Pm1 0.0000 0.0000 0.0000
O1 0.0615 0.4379 0.0632
O2 0.9385 0.9368 0.5621
O3 0.4374 0.0632 0.4379
O4 0.5626 0.5621 0.9368
Na1 0.5000 0.5000 0.5000
Be1 0.7505 0.7495 0.7495
Be2 0.2495 0.2505 0.2505

## Properties
calculated volume: 91.8 Å³/cell
space group: I422 (97)
total moment: 0.00 μB per cell
formation energy (no corrections): -2.388 eV per atom

First-principles (GGA-PBE) data for an optimized crystal structure of Na2PmBeO4, as listed in Alexandria.

Cell: 5.8176 5.0308 5.0308 Å, 70.25 54.68 54.68°
Each line ends with the local moment (μB).
Positions (direct):
Na1 0.5000 0.7498 0.2502  0.00
Na2 0.5000 0.2502 0.7498  0.00
Be1 0.0000 0.5000 0.5000  -0.01
O1 0.9998 0.8307 0.5022  0.22
O2 0.3328 0.1693 0.4978  0.22
O3 0.0002 0.4978 0.1693  0.22
O4 0.6672 0.5022 0.8307  0.22
Pm1 0.0000 0.0000 0.0000  -0.02

## Properties
calculated volume: 98.0 Å³/cell
space group: I-42m (121)
total moment: 1.02 μB per cell
formation energy (no corrections): -1.971 eV per atom

First-principles (GGA-PBE) data for an optimized crystal structure of NaPmBeO3, as listed in Alexandria.

Cell: 3.3598 6.1994 7.1513 Å, 92.53 90.00 90.00°
Positions (direct):
Be1 0.7500 0.9725 0.3879
Be2 0.2500 0.0275 0.6121
O1 0.7500 0.1488 0.5580
O2 0.7500 0.5132 0.1711
O3 0.2500 0.9845 0.8254
O4 0.7500 0.0155 0.1746
O5 0.2500 0.8512 0.4420
O6 0.2500 0.4868 0.8289
Pm1 0.7500 0.2520 0.9151
Pm2 0.2500 0.7480 0.0849
Na1 0.2500 0.3391 0.3525
Na2 0.7500 0.6609 0.6475

## Properties
calculated volume: 148.8 Å³/cell
space group: P2_1/m (11)
total moment: 0.00 μB per cell
formation energy (no corrections): -2.594 eV per atom

First-principles (GGA-PBE) data for an optimized crystal structure of NaPrBe2O4, as listed in Alexandria.

Cell: 5.5568 4.9972 4.9972 Å, 67.64 56.22 56.22°
Positions (direct):
O1 0.4348 0.0660 0.4355
O2 0.5652 0.5645 0.9340
O3 0.0636 0.4355 0.0660
O4 0.9364 0.9340 0.5645
Na1 0.5000 0.5000 0.5000
Be1 0.2494 0.2506 0.2506
Be2 0.7506 0.7494 0.7494
Pr1 0.0000 0.0000 0.0000

## Properties
calculated volume: 95.4 Å³/cell
space group: I222 (23)
total moment: 0.00 μB per cell
formation energy (no corrections): -2.372 eV per atom